Entry 1:
Sn3BF9 | PBE | optimized geometry

Output
Fermi-level density of states	0.00	states/eV/cell

Lattice parameters (Å, degrees): 10.3780 7.8034 11.0226 90.00 96.14 90.00
Atoms (fractional coordinates):
Sn  0.0576  0.1658  0.1848
Sn  0.0576  0.3342  0.6848
Sn  0.2035  0.6357  0.0520
Sn  0.2035  0.8643  0.5520
Sn  0.3180  0.0995  0.9334
Sn  0.3180  0.4005  0.4334
Sn  0.6820  0.5995  0.5666
Sn  0.6820  0.9005  0.0666
Sn  0.7965  0.1357  0.4480
Sn  0.7965  0.3643  0.9480
Sn  0.9424  0.6658  0.3152
Sn  0.9424  0.8342  0.8152
B  0.4101  0.5710  0.7978
B  0.4101  0.9290  0.2978
B  0.5899  0.0710  0.7022
B  0.5899  0.4290  0.2022
F  0.0409  0.6120  0.9049
F  0.0409  0.8880  0.4049
F  0.0728  0.7403  0.1715
F  0.0728  0.7597  0.6715
F  0.1768  0.1251  0.7759
F  0.1768  0.3749  0.2759
F  0.1779  0.6025  0.4681
F  0.1779  0.8975  0.9681
F  0.1968  0.2482  0.5306
F  0.1968  0.2518  0.0306
F  0.3368  0.0707  0.3367
F  0.3368  0.4293  0.8367
F  0.3634  0.6091  0.6739
F  0.3634  0.8909  0.1739
F  0.3890  0.7139  0.8728
F  0.3890  0.7861  0.3728
F  0.4579  0.0301  0.6943
F  0.4579  0.4699  0.1943
F  0.5421  0.5301  0.8057
F  0.5421  0.9699  0.3057
F  0.6110  0.2139  0.6272
F  0.6110  0.2861  0.1272
F  0.6366  0.1091  0.8261
F  0.6366  0.3909  0.3261
F  0.6632  0.5707  0.1633
F  0.6632  0.9293  0.6633
F  0.8032  0.7482  0.9694
F  0.8032  0.7518  0.4694
F  0.8221  0.1025  0.0319
F  0.8221  0.3975  0.5319
F  0.8232  0.6251  0.7241
F  0.8232  0.8749  0.2241
F  0.9272  0.2403  0.3285
F  0.9272  0.2597  0.8285
F  0.9591  0.1120  0.5951
F  0.9591  0.3880  0.0951

---

Entry 2:
SnBF5 | PBE | optimized geometry

Output
Fermi-level density of states	0.00	states/eV/cell

Lattice parameters (Å, degrees): 5.0433 5.7923 9.2099 81.51 74.25 89.98
Atoms (fractional coordinates):
Sn  0.0000  0.0000  0.0000
Sn  0.4258  0.5000  0.9995
B  0.1596  0.1738  0.5178
B  0.7456  0.6745  0.5165
F  0.0558  0.6313  0.1256
F  0.0840  0.3417  0.4238
F  0.2035  0.3588  0.8661
F  0.2461  0.1314  0.1254
F  0.3540  0.8588  0.8661
F  0.4067  0.0856  0.4769
F  0.5406  0.5864  0.4743
F  0.7797  0.6006  0.6537
F  0.9152  0.8423  0.4230
F  0.9878  0.0998  0.6545

---

Entry 3:
Sn2B2F | PBE | optimized geometry

Output
Fermi-level density of states	0.70	states/eV/cell
energy above the most stable polymorph in this dataset	0.181	eV per atom

Lattice parameters (Å, degrees): 6.4414 6.4414 6.4414 147.93 147.93 45.99
Atoms (fractional coordinates):
Sn  0.1173  0.1173  0.0000
Sn  0.8827  0.8827  0.0000
B  0.2500  0.7500  0.5000
B  0.7500  0.2500  0.5000
F  0.5000  0.5000  0.0000

---

Entry 4:
Sn2B2F | PBE | optimized geometry

Output
Fermi-level density of states	3.24	states/eV/cell
energy above the most stable polymorph in this dataset	0.000	eV per atom

Lattice parameters (Å, degrees): 6.8928 6.8928 3.7248 90.00 90.00 90.00
Atoms (fractional coordinates):
Sn  0.2309  0.2691  0.0000
Sn  0.2691  0.7691  0.0000
Sn  0.7309  0.2309  0.0000
Sn  0.7691  0.7309  0.0000
B  0.0808  0.4192  0.5000
B  0.4192  0.9192  0.5000
B  0.5808  0.0808  0.5000
B  0.9192  0.5808  0.5000
F  0.0000  0.0000  0.0000
F  0.5000  0.5000  0.0000

---

Entry 5:
SnBF3 | PBE | optimized geometry

Output
Fermi-level density of states	3.93	states/eV/cell

Lattice parameters (Å, degrees): 4.4843 4.4843 4.4843 90.00 90.00 90.00
Atoms (fractional coordinates):
Sn  0.0000  0.0000  0.0000
B  0.5000  0.5000  0.5000
F  0.0000  0.0000  0.5000
F  0.0000  0.5000  0.0000
F  0.5000  0.0000  0.0000

---

Entry 6:
SnBF6 | PBE | optimized geometry

Output
Fermi-level density of states	1.73	states/eV/cell

Lattice parameters (Å, degrees): 3.9666 3.9666 6.2763 104.35 104.35 87.81
Atoms (fractional coordinates):
Sn  0.0000  0.0000  0.0000
B  0.5000  0.5000  0.5000
F  0.1374  0.6004  0.2068
F  0.2793  0.2793  0.5091
F  0.3996  0.8626  0.7932
F  0.6004  0.1374  0.2068
F  0.7207  0.7207  0.4909
F  0.8626  0.3996  0.7932

---

| no. | formation energy (no corrections) (eV per atom) |
| --- | --- |
| 1 | -2.50 |
| 2 | -2.55 |
| 3 | 0.28 |
| 4 | 0.10 |
| 5 | -0.75 |
| 6 | -2.13 |